# 1
# PBE La3Cd2C, relaxed
# Density of states at the Fermi level ... 0.7380 states/eV/atom
# Crystal system ... hexagonal
# Calculated volume ... 349.7 Å³/cell
# Calculated density ... 6208 kg/m3
# E_form ... -0.1559 eV per atom
data_La3Cd2C
_chemical_formula_sum 'La6 Cd4 C2'
_space_group_name_H-M_alt 'P 63/m m c'
_space_group_IT_number 194
_space_group_name_Hall '-P 6c 2c'
_cell_length_a 7.5221
_cell_length_b 7.5221
_cell_length_c 7.1355
_cell_angle_alpha 90.00
_cell_angle_beta 90.00
_cell_angle_gamma 120.00
loop_
_atom_site_label
_atom_site_type_symbol
_atom_site_fract_x
_atom_site_fract_y
_atom_site_fract_z
La1 La 0.1491 0.2982 0.2500
Cd1 Cd 0.3333 0.6667 0.5638
C1 C 0.0000 0.0000 0.0000

# 2
# PBE SmEr2Sc4, relaxed
# Density of states at the Fermi level ... 1.9771 states/eV/atom
# Crystal system ... orthorhombic
# Calculated volume ... 810.4 Å³/cell
# Calculated density ... 5448 kg/m3
# E_form ... 0.2151 eV per atom
data_SmEr2Sc4
_chemical_formula_sum 'Sm4 Er8 Sc16'
_space_group_name_H-M_alt 'F m m m'
_space_group_IT_number 69
_space_group_name_Hall '-F 2 2'
_cell_length_a 6.2594
_cell_length_b 11.3756
_cell_length_c 11.3813
_cell_angle_alpha 90.00
_cell_angle_beta 90.00
_cell_angle_gamma 90.00
loop_
_atom_site_label
_atom_site_type_symbol
_atom_site_fract_x
_atom_site_fract_y
_atom_site_fract_z
Sm1 Sm 0.0000 0.0000 0.0000
Er1 Er 0.2499 0.2501 0.2502
Sc1 Sc 0.0000 0.0000 0.3069
Sc2 Sc 0.0000 0.1923 0.5000

# 3
# PBE RbCaHg3, relaxed
# Density of states at the Fermi level ... 0.6314 states/eV/atom
# Crystal system ... cubic
# Calculated volume ... 219.5 Å³/cell
# Calculated density ... 5503 kg/m3
# Energy relative to the lowest polymorph listed for this composition ... 207.5 meV per atom
# E_form ... -0.1113 eV per atom
data_RbCaHg3
_chemical_formula_sum 'Rb1 Ca1 Hg3'
_space_group_name_H-M_alt 'P m -3 m'
_space_group_IT_number 221
_space_group_name_Hall '-P 4 2 3'
_cell_length_a 6.0320
_cell_length_b 6.0320
_cell_length_c 6.0320
_cell_angle_alpha 90.00
_cell_angle_beta 90.00
_cell_angle_gamma 90.00
loop_
_atom_site_label
_atom_site_type_symbol
_atom_site_fract_x
_atom_site_fract_y
_atom_site_fract_z
Rb1 Rb 0.0000 0.0000 0.0000
Ca1 Ca 0.5000 0.5000 0.5000
Hg1 Hg 0.0000 0.5000 0.5000

> What is the calculated volume in the first record?

349.7 Å³/cell

> Look up the calculated volume of the first one.

349.7 Å³/cell

> The highest E_form belongs to which entry?

SmEr2Sc4

> Among the records above, which one has the lowest E_form?

La3Cd2C